Record 1
Density functional theory data (PBE) for an optimized crystal structure of Ac4CdIn2Ag.

Computed properties:
* space group: R-3m
* E_tot: -3.562 eV/atom

Lattice parameters (Å, degrees): 9.977 9.977 9.977 33.51 33.51 33.51
Atoms (fractional coordinates):
Ac: 0.123 0.123 0.123
Ac: 0.373 0.373 0.373
Ac: 0.627 0.627 0.627
Ac: 0.877 0.877 0.877
Cd: 0.500 0.500 0.500
In: 0.248 0.248 0.248
In: 0.752 0.752 0.752
Ag: 0.000 0.000 0.000

***

Record 2
Density functional theory data (PBE) for an optimized crystal structure of Ac2Cd12InAg3.

Computed properties:
* space group: R-3m
* E_tot: -1.521 eV/atom

Lattice parameters (Å, degrees): 8.662 8.662 8.662 68.38 68.38 68.38
Atoms (fractional coordinates):
Ac: 0.099 0.099 0.099
Ac: 0.901 0.901 0.901
Cd: 0.135 0.645 0.645
Cd: 0.143 0.143 0.546
Cd: 0.143 0.546 0.143
Cd: 0.355 0.355 0.865
Cd: 0.355 0.865 0.355
Cd: 0.454 0.857 0.857
Cd: 0.546 0.143 0.143
Cd: 0.645 0.135 0.645
Cd: 0.645 0.645 0.135
Cd: 0.857 0.454 0.857
Cd: 0.857 0.857 0.454
Cd: 0.865 0.355 0.355
In: 0.500 0.500 0.500
Ag: 0.000 0.500 0.500
Ag: 0.500 0.000 0.500
Ag: 0.500 0.500 0.000

***

Record 3
Density functional theory data (PBE) for an optimized crystal structure of Ac2Cd3InAg4.

Computed properties:
* space group: P-4m2
* E_tot: -2.752 eV/atom

Lattice parameters (Å, degrees): 4.536 4.536 12.511 90.00 90.00 90.00
Atoms (fractional coordinates):
Ac: 0.000 0.500 0.249
Ac: 0.500 0.000 0.751
Cd: 0.000 0.500 0.866
Cd: 0.500 0.000 0.134
Cd: 0.500 0.500 0.500
In: 0.000 0.000 0.500
Ag: 0.000 0.000 0.000
Ag: 0.000 0.500 0.643
Ag: 0.500 0.000 0.357
Ag: 0.500 0.500 0.000

***

Record 4
Density functional theory data (PBE) for an optimized crystal structure of Ac2Cd6InAg.

Computed properties:
* space group: Pmmn
* E_tot: -2.070 eV/atom

Lattice parameters (Å, degrees): 7.920 9.745 7.434 90.00 90.00 90.00
Atoms (fractional coordinates):
Ac: 0.250 0.021 0.222
Ac: 0.250 0.479 0.222
Ac: 0.750 0.521 0.778
Ac: 0.750 0.979 0.778
Cd: 0.061 0.250 0.874
Cd: 0.076 0.750 0.534
Cd: 0.250 0.501 0.723
Cd: 0.250 0.999 0.723
Cd: 0.424 0.750 0.534
Cd: 0.439 0.250 0.874
Cd: 0.561 0.750 0.126
Cd: 0.576 0.250 0.466
Cd: 0.750 0.001 0.277
Cd: 0.750 0.499 0.277
Cd: 0.924 0.250 0.466
Cd: 0.939 0.750 0.126
In: 0.250 0.750 0.927
In: 0.750 0.250 0.073
Ag: 0.250 0.250 0.536
Ag: 0.750 0.750 0.464

***

Record 5
Density functional theory data (PBE) for an optimized crystal structure of AcCd5InAg2.

Computed properties:
* space group: P4/mmm
* E_tot: -1.912 eV/atom

Lattice parameters (Å, degrees): 5.393 5.393 8.033 90.00 90.00 90.00
Atoms (fractional coordinates):
Ac: 0.000 0.000 0.000
Cd: 0.000 0.500 0.277
Cd: 0.000 0.500 0.723
Cd: 0.500 0.000 0.277
Cd: 0.500 0.000 0.723
Cd: 0.500 0.500 0.000
In: 0.000 0.000 0.500
Ag: 0.500 0.500 0.336
Ag: 0.500 0.500 0.664

***

Record 6
Density functional theory data (PBE) for an optimized crystal structure of Ac3Cd6In2Ag.

Computed properties:
* space group: P-3m1
* E_tot: -2.359 eV/atom

Lattice parameters (Å, degrees): 6.000 6.000 11.103 90.00 90.00 120.00
Atoms (fractional coordinates):
Ac: 0.000 0.000 0.000
Ac: 0.333 0.667 0.569
Ac: 0.667 0.333 0.431
Cd: 0.168 0.336 0.273
Cd: 0.168 0.832 0.273
Cd: 0.336 0.168 0.727
Cd: 0.664 0.832 0.273
Cd: 0.832 0.168 0.727
Cd: 0.832 0.664 0.727
In: 0.333 0.667 0.897
In: 0.667 0.333 0.103
Ag: 0.000 0.000 0.500

***

Which formula does entry 6 have? Ac3Cd6In2Ag